Compound: Ba3HfAl
Source: Alexandria via LeMat-Bulk
Functional: SCAN
Structure: PBEsol geometry

**VASP energy**: -36.8803 eV/atom
**DOS at the Fermi energy**: 5.45 states/eV/cell

Unit cell a=6.0883 b=6.0883 c=6.0883 alpha=90.00 beta=90.00 gamma=90.00
Closest atoms and distances in Å follow each position.
Space group Pm-3m (No. 221)
Symmetry-distinct sites (fractional):
Ba1 0.0000 0.0000 0.5000 [3 per cell]  2 Hf 3.04
Hf1 0.0000 0.0000 0.0000 [1 per cell]  6 Ba 3.04
Al1 0.5000 0.5000 0.5000 [1 per cell]  12 Ba 4.31